{
  "formula": "BaSrErCu3O7",
  "functional": "SCAN",
  "state": "single point on PBEsol structure",
  "final_energy_ev_per_cell": -228.6,
  "raw_formation_energy_ev_per_atom": -2.09,
  "n_ef_per_ev_fu": 2.61,
  "space_group": "Pmm2",
  "cell": [[3.7264, 0.0000, 0.0000], [0.0000, 3.8408, 0.0000], [0.0000, 0.0000, 11.3763]],
  "species": ["Ba", "Sr", "Er", "Cu", "Cu", "Cu", "O", "O", "O", "O", "O", "O", "O"],
  "frac_coords": [[0.0000, 0.0000, 0.0000], [0.0000, 0.0000, 0.6376], [0.0000, 0.0000, 0.3231], [0.5000, 0.5000, 0.1755], [0.5000, 0.5000, 0.4703], [0.5000, 0.5000, 0.8151], [0.0000, 0.5000, 0.2027], [0.0000, 0.5000, 0.4436], [0.5000, 0.0000, 0.2005], [0.5000, 0.0000, 0.4479], [0.5000, 0.0000, 0.8059], [0.5000, 0.5000, 0.6525], [0.5000, 0.5000, 0.9785]]
}